Density functional theory data (PBE-GGA) for an optimized crystal structure of Pu4Au2O.

## Properties
calculated total energy: -10.638 eV per atom
magnetic moment: 24.00 μB per formula unit
formation energy (no corrections): -0.804 eV/atom

a b c (Å): 4.6508 4.6508 8.5899
angles (deg): 105.71 105.71 90.00
Last column: nearest neighbours and their distance in Å.
Positions (direct):
Pu: 0.1785 0.1785 0.3570  1 O 2.83, 1 Au 2.97
O: 0.0000 0.0000 0.0000  4 Pu 2.33
Pu: 0.5000 0.0000 0.0000  2 O 2.33
Pu: 0.0000 0.5000 0.0000  2 O 2.33
Pu: 0.8215 0.8215 0.6430  1 O 2.83, 1 Au 2.97
Au: 0.6345 0.6345 0.2690  5 Pu 2.97-3.16
Au: 0.3655 0.3655 0.7310  5 Pu 2.97-3.16